LaRhW2 meta-GGA SCAN single point on PBEsol structure; DOS at the Fermi energy = 4.43 states/eV per cell
1.0
2.850 0.000 0.000
1.425 2.468 0.000
1.425 0.823 10.103
La Rh W
1 1 2
Direct
0.500 0.500 0.500
0.000 0.000 0.000
0.262 0.262 0.213
0.738 0.738 0.787


LaRhW2 meta-GGA SCAN single point on PBEsol structure; DOS at the Fermi energy = 3.04 states/eV per cell
1.0
-0.741 2.973 0.826
-2.999 -0.894 0.528
1.693 -1.531 7.032
La Rh W
1 1 2
Direct
0.000 0.000 0.498
0.500 0.500 0.799
0.000 0.000 0.006
0.500 0.500 0.196


La2YRh meta-GGA SCAN single point on PBEsol structure; DOS at the Fermi energy = 4.07 states/eV per cell
1.0
3.859 0.000 0.000
1.930 3.342 0.000
1.930 1.114 9.348
La Rh Y
2 1 1
Direct
0.228 0.228 0.318
0.772 0.772 0.682
0.500 0.500 0.500
0.000 0.000 0.000


LaYRh2 meta-GGA SCAN single point on PBEsol structure; DOS at the Fermi energy = 1.63 states/eV per cell
1.0
3.368 0.000 0.058
0.000 3.447 0.000
-0.109 0.000 7.095
Y Rh La
1 2 1
Direct
0.500 0.500 0.000
0.001 0.000 0.765
0.999 0.000 0.235
0.500 0.500 0.500


LaYRh2 meta-GGA SCAN single point on PBEsol structure; DOS at the Fermi energy = 1.37 states/eV per cell
1.0
3.831 0.000 0.000
0.000 4.166 0.000
-1.916 0.000 5.365
Y Rh La
1 2 1
Direct
0.514 0.500 0.027
0.964 0.000 0.928
0.791 0.500 0.582
0.232 0.000 0.464


La2YRh meta-GGA SCAN single point on PBEsol structure; DOS at the Fermi energy = 2.93 states/eV per cell
1.0
3.764 0.000 0.000
0.000 5.226 0.000
0.000 0.000 5.226
La Rh Y
2 1 1
Direct
0.000 0.000 0.500
0.000 0.500 0.000
0.500 0.500 0.500
0.500 0.000 0.000


La2YRh meta-GGA SCAN single point on PBEsol structure; DOS at the Fermi energy = 2.05 states/eV per cell
1.0
3.748 0.000 0.000
0.000 5.498 0.000
-1.874 -2.749 5.262
Y Rh La
1 1 2
Direct
0.000 0.500 0.000
0.500 0.000 0.000
0.802 0.802 0.604
0.198 0.198 0.396


La2YRh meta-GGA SCAN single point on PBEsol structure; DOS at the Fermi energy = 4.09 states/eV per cell
1.0
3.444 0.020 0.000
-1.004 5.588 0.000
-1.220 -2.804 5.146
La Rh Y
2 1 1
Direct
0.000 0.000 0.500
0.500 0.500 0.500
0.500 0.000 0.000
0.000 0.500 0.000


LaYRh2 meta-GGA SCAN single point on PBEsol structure; DOS at the Fermi energy = 1.77 states/eV per cell
1.0
-0.621 -0.181 -3.294
-2.788 -4.034 0.747
-3.999 2.874 0.596
Y Rh La
1 2 1
Direct
0.000 0.000 0.000
0.500 0.000 0.500
0.500 0.500 0.000
0.000 0.500 0.500


La2YRh2 meta-GGA SCAN single point on PBEsol structure; DOS at the Fermi energy = 7.61 states/eV per cell
1.0
4.050 0.000 0.000
0.000 7.686 0.000
0.000 0.000 7.686
Y Rh La
2 4 4
Direct
0.000 0.000 0.000
0.000 0.500 0.500
0.000 0.357 0.857
0.000 0.857 0.643
0.000 0.643 0.143
0.000 0.143 0.357
0.500 0.161 0.661
0.500 0.661 0.839
0.500 0.839 0.339
0.500 0.339 0.161


La2YRh meta-GGA SCAN single point on PBEsol structure; DOS at the Fermi energy = 5.59 states/eV per cell
1.0
-4.698 -1.825 -1.079
-0.878 -5.078 0.099
-2.894 -2.043 3.744
La Rh Y
2 1 1
Direct
0.000 0.000 0.000
0.750 0.750 0.750
0.500 0.500 0.500
0.250 0.250 0.250


La2YRh meta-GGA SCAN single point on PBEsol structure; DOS at the Fermi energy = 5.04 states/eV per cell
1.0
-3.181 2.171 -3.536
-5.166 -0.739 0.327
-3.125 3.959 1.377
La Rh Y
2 1 1
Direct
0.250 0.250 0.250
0.750 0.750 0.750
0.000 0.000 0.000
0.500 0.500 0.500


Number 1: M_tot 0.00 μB per formula unit, ΔE_f 0.670 eV per atom. Number 2: M_tot 0.00 μB per formula unit, ΔE_f 0.216 eV per atom. Number 3: M_tot 1.05 μB per formula unit, ΔE_f -0.348 eV per atom. Number 4: M_tot 0.00 μB per formula unit, ΔE_f -0.813 eV per atom. Number 5: M_tot 0.00 μB per formula unit, ΔE_f -0.835 eV per atom. Number 6: M_tot 0.00 μB per formula unit, ΔE_f -0.107 eV per atom. Number 7: M_tot 0.00 μB per formula unit, ΔE_f -0.445 eV per atom. Number 8: M_tot 0.00 μB per formula unit, ΔE_f -0.006 eV per atom. Number 9: M_tot 0.00 μB per formula unit, ΔE_f -0.801 eV per atom. Number 10: M_tot 0.00 μB per formula unit, ΔE_f -0.709 eV per atom. Number 11: M_tot 0.00 μB per formula unit, ΔE_f -0.108 eV per atom. Number 12: M_tot 0.00 μB per formula unit, ΔE_f -0.016 eV per atom.